# 1
A plane-wave DFT calculation with GGA-PBE was carried out for Th2Ga3Au5 after structural relaxation.

abc: 11.0995 12.2335 6.1840
angles: 90.00 90.00 90.00
Space group Ibam (No. 72)
Unique sites:
Th (0.2268, 0.1321, 0.0000)
Ga (0.0000, 0.5000, 0.2500)
Ga (0.1209, 0.1336, 0.5000)
Au (0.0000, 0.0000, 0.2500)
Au (0.0000, 0.2655, 0.2500)
Au (0.1571, 0.3987, 0.0000)

Output
**Magnetic moment**: 0.00 μB per cell
**Calculated formation energy**: -545.5 meV per atom
**Calculated total energy**: -183.05 eV/cell

=====

# 2
A plane-wave DFT calculation with GGA-PBE was carried out for Y4HoCd2 after structural relaxation.

abc: 5.1464 5.1464 30.1538
angles: 90.00 90.00 120.00
Space group R-3m (No. 166, hexagonal axes)
Unique sites:
Y (0.0000, 0.0000, 0.1086)
Y (0.0000, 0.0000, 0.2956)
Ho (0.0000, 0.0000, 0.5000)
Cd (0.0000, 0.0000, 0.3998)

Output
**Magnetic moment**: 0.00 μB per cell
**Calculated formation energy**: 192.3 meV per atom
**Calculated total energy**: -92.76 eV/cell

=====

# 3
A plane-wave DFT calculation with GGA-PBE was carried out for Sm2Dy3Tl4 after structural relaxation.

abc: 7.1984 16.3898 9.2091
angles: 90.00 90.00 90.00
Space group Cmce (No. 64)
Unique sites:
Sm (0.0000, 0.1098, 0.0751)
Dy (0.0000, 0.0000, 0.5000)
Dy (0.2500, 0.2137, 0.7500)
Tl (0.0000, 0.1875, 0.4594)
Tl (0.2500, 0.0268, 0.7500)

Output
**Magnetic moment**: 0.00 μB per cell
**Calculated formation energy**: -226.7 meV per atom
**Calculated total energy**: -139.00 eV/cell

=====

# 4
A plane-wave DFT calculation with GGA-PBE was carried out for CaMg2Tc after structural relaxation.

abc: 6.1283 8.8302 3.0312
angles: 90.00 90.00 90.00
Space group Cmmm (No. 65)
Unique sites:
Ca (0.0000, 0.0000, 0.0000)
Mg (0.2500, 0.2500, 0.5000)
Tc (0.0000, 0.5000, 0.0000)

Output
**Magnetic moment**: 0.02 μB per cell
**Distance to the lowest polymorph of the same formula**: 0.153 eV/atom
**Calculated formation energy**: 440.2 meV per atom
**Calculated total energy**: -27.59 eV/cell

=====

# 5
A plane-wave DFT calculation with GGA-PBE was carried out for InGa2Bi after structural relaxation.

abc: 5.6551 4.2696 8.7835
angles: 90.00 93.62 90.00
Space group P2_1/m (No. 11)
Unique sites:
In (0.0540, 0.2500, 0.3016)
Ga (0.1297, 0.2500, 0.9356)
Ga (0.3758, 0.7500, 0.0698)
Bi (0.3903, 0.2500, 0.6142)

Output
**Magnetic moment**: 0.00 μB per cell
**Distance to the lowest polymorph of the same formula**: 0.000 eV/atom
**Calculated formation energy**: 58.0 meV per atom
**Calculated total energy**: -24.88 eV/cell

=====

# 6
A plane-wave DFT calculation with GGA-PBE was carried out for LiFe3As after structural relaxation.

abc: 3.8619 3.8619 3.8619
angles: 90.00 90.00 90.00
Space group Pm-3m (No. 221)
Unique sites:
Li (0.0000, 0.0000, 0.0000)
Fe (0.0000, 0.0000, 0.5000)
As (0.5000, 0.5000, 0.5000)

Output
**Magnetic moment**: 0.00 μB per cell
**Distance to the lowest polymorph of the same formula**: 0.572 eV/atom
**Calculated formation energy**: 1208.5 meV per atom
**Calculated total energy**: -25.91 eV/cell